Material: Tb4Er10Tm
Method: DFT, GGA-PBE
State: optimized geometry

The value obtained for the size of the total moment is 0.00 μB/f.u. The calculation puts the calculated volume at 550 Å³/f.u. Its calculated total energy is -3.8392 eV/atom. The density of states at the Fermi level comes out at 1.07 states/eV/atom.

The structure belongs to space group I4/m (No. 87); the cell edges are 12.036, 12.036 and 7.597 Å and the angles 90.00°, 90.00° and 90.00°. The asymmetric unit holds Tb at (0.101, 0.701, 0.000), Er at (0.000, 0.500, 0.250), Er at (0.099, 0.200, 0.251) and Tm at (0.000, 0.000, 0.500).

Material: Tb3Er6Tm
Method: DFT, GGA-PBE
State: optimized geometry

The value obtained for the size of the total moment is 0.00 μB/f.u. The calculation puts the calculated volume at 310 Å³/f.u. Its calculated total energy is -4.4520 eV/atom. The density of states at the Fermi level comes out at 1.57 states/eV/atom.

The structure belongs to space group Cmc2_1 (No. 36); the cell edges are 9.484, 20.790 and 6.298 Å and the angles 90.00°, 90.00° and 90.00°. The asymmetric unit holds Tb at (0.000, 0.079, 0.000), Tb at (0.169, 0.372, 0.602), Er at (0.000, 0.199, 0.302), Er at (0.000, 0.486, 0.272), Er at (0.176, 0.219, 0.763), Er at (0.183, 0.062, 0.526) and Tm at (0.000, 0.339, 0.075).

Material: Tb6Er8Tm
Method: DFT, GGA-PBE
State: optimized geometry

The value obtained for the size of the total moment is 0.00 μB/f.u. The calculation puts the calculated volume at 485 Å³/f.u. Its calculated total energy is -4.3393 eV/atom. The density of states at the Fermi level comes out at 1.45 states/eV/atom.

The structure belongs to space group P-3 (No. 147); the cell edges are 9.3064, 9.3064 and 6.4637 Å and the angles 90.00°, 90.00° and 120.00°. The asymmetric unit holds Tb at (0.0913, 0.6801, 0.4066), Er at (0.0226, 0.3327, 0.1008), Er at (0.3333, 0.6667, 0.8380) and Tm at (0.0000, 0.0000, 0.5000).

Material: Tb3Er7Tm2
Method: DFT, GGA-PBE
State: optimized geometry

The value obtained for the size of the total moment is 0.00 μB/f.u. The calculation puts the calculated volume at 372 Å³/f.u. Its calculated total energy is -4.4914 eV/atom. The density of states at the Fermi level comes out at 1.56 states/eV/atom.

The structure belongs to space group P2/m (No. 10); the cell edges are 6.276, 3.501 and 16.948 Å and the angles 90.00°, 90.16° and 90.00°. The asymmetric unit holds Tb at (0.000, 0.000, 0.000), Tb at (0.497, 0.500, 0.659), Er at (0.176, 0.500, 0.166), Er at (0.254, 0.000, 0.502), Er at (0.325, 0.000, 0.833), Er at (0.500, 0.500, 0.000) and Tm at (0.008, 0.000, 0.326).

Material: TbEr2Tm9
Method: DFT, GGA-PBE
State: optimized geometry

The value obtained for the size of the total moment is 0.00 μB/f.u. The calculation puts the calculated volume at 366 Å³/f.u. Its calculated total energy is -4.3675 eV/atom. The density of states at the Fermi level comes out at 2.07 states/eV/atom.

The structure belongs to space group P4/mmm (No. 123); the cell edges are 5.805, 5.805 and 10.858 Å and the angles 90.00°, 90.00° and 90.00°. The asymmetric unit holds Tb at (0.000, 0.000, 0.000), Er at (0.000, 0.000, 0.333), Tm at (0.000, 0.500, 0.168), Tm at (0.000, 0.500, 0.500), Tm at (0.500, 0.500, 0.000) and Tm at (0.500, 0.500, 0.333).

Material: TbEr10Tm4
Method: DFT, GGA-PBE
State: optimized geometry

The value obtained for the size of the total moment is 0.00 μB/f.u. The calculation puts the calculated volume at 542 Å³/f.u. Its calculated total energy is -3.8197 eV/atom. The density of states at the Fermi level comes out at 0.93 states/eV/atom.

The structure belongs to space group I4/m (No. 87); the cell edges are 11.973, 11.973 and 7.568 Å and the angles 90.00°, 90.00° and 90.00°. The asymmetric unit holds Tb at (0.000, 0.000, 0.000), Er at (0.000, 0.500, 0.250), Er at (0.100, 0.200, 0.251) and Tm at (0.100, 0.699, 0.500).

> calculated total energy of number 4 (Tb3Er7Tm2)?

-4.4914 eV/atom

> Look up the size of the total moment of the first one.

0.00 μB/f.u.